No. 1
## PrSiO3 (PBE-GGA)

Data for a relaxed structure of PrSiO3.

Structure (CIF):
```
data_PrSiO3
_chemical_formula_sum 'Pr6 Si6 O18'
_cell_length_a 5.6900
_cell_length_b 5.6900
_cell_length_c 15.8295
_cell_angle_alpha 90.00
_cell_angle_beta 90.00
_cell_angle_gamma 120.00
_symmetry_space_group_name_H-M 'R -3'
_symmetry_Int_Tables_number 148
_symmetry_space_group_name_Hall '-R 3'
loop_
_atom_site_label
_atom_site_fract_x
_atom_site_fract_y
_atom_site_fract_z
_atom_site_occupancy
Pr1 0.0000 0.0000 0.1970 1
Si1 0.0000 0.0000 0.3950 1
O1 0.0369 0.4097 0.2427 1
```

Values from the calculation:
E   -7.513 eV/atom
Total magnetic moment   5.999 μB per cell

No. 2
## TbPaCu2Sb4 (PBE-GGA)

Data for a relaxed structure of TbPaCu2Sb4.

Structure (CIF):
```
data_TbPaCu2Sb4
_chemical_formula_sum 'Tb1 Pa1 Cu2 Sb4'
_cell_length_a 4.351
_cell_length_b 4.351
_cell_length_c 9.656
_cell_angle_alpha 90.00
_cell_angle_beta 90.00
_cell_angle_gamma 90.00
_symmetry_space_group_name_H-M 'P 4 m m'
_symmetry_Int_Tables_number 99
loop_
_symmetry_equiv_pos_as_xyz
'x,y,z'
'-y,x,z'
'-x,-y,z'
'y,-x,z'
'-x,y,z'
'y,x,z'
'x,-y,z'
'-y,-x,z'
loop_
_atom_site_label
_atom_site_fract_x
_atom_site_fract_y
_atom_site_fract_z
_atom_site_occupancy
Tb1 0.000 0.000 0.000 1
Pa1 0.500 0.500 0.502 1
Cu1 0.000 0.500 0.260 1
Sb1 0.000 0.000 0.430 1
Sb2 0.000 0.500 0.751 1
Sb3 0.500 0.500 0.101 1
```

Values from the calculation:
E   -5.273 eV/atom
Total magnetic moment   0.005 μB per cell

No. 3
## PrTe (PBE-GGA)

Data for a relaxed structure of PrTe.

Structure (CIF):
```
data_PrTe
_chemical_formula_sum 'Pr2 Te2'
_cell_length_a 4.528
_cell_length_b 4.528
_cell_length_c 6.413
_cell_angle_alpha 90.00
_cell_angle_beta 90.00
_cell_angle_gamma 90.00
_symmetry_space_group_name_H-M 'I 4 m m'
_symmetry_Int_Tables_number 107
_symmetry_space_group_name_Hall 'I 4 -2'
loop_
_atom_site_label
_atom_site_fract_x
_atom_site_fract_y
_atom_site_fract_z
_atom_site_occupancy
Pr1 0.000 0.000 0.000 1
Te1 0.000 0.000 0.501 1
```

Values from the calculation:
E   -5.401 eV/atom
Total magnetic moment   0.009 μB per cell

No. 4
## Ta13Ni16 (PBE-GGA)

Data for a relaxed structure of Ta13Ni16.

Structure (CIF):
```
data_Ta13Ni16
_chemical_formula_sum 'Ta26 Ni32'
_cell_length_a 9.457
_cell_length_b 9.457
_cell_length_c 9.457
_cell_angle_alpha 90.00
_cell_angle_beta 90.00
_cell_angle_gamma 90.00
_symmetry_space_group_name_H-M 'I -4 3 m'
_symmetry_Int_Tables_number 217
_symmetry_space_group_name_Hall 'I -4 2 3'
loop_
_atom_site_label
_atom_site_fract_x
_atom_site_fract_y
_atom_site_fract_z
_atom_site_occupancy
Ta1 0.000 0.000 0.000 1
Ta2 0.100 0.100 0.699 1
Ni1 0.056 0.366 0.634 1
Ni2 0.170 0.170 0.170 1
```

Values from the calculation:
E   -8.284 eV/atom
Distance to the lowest polymorph of the same formula   0.2951 eV/atom
Energy of formation   0.1013 eV per atom
Total magnetic moment   1.922 μB per cell

No. 5
## NpIn2Br6 (PBE-GGA)

Data for a relaxed structure of NpIn2Br6.

Structure (CIF):
```
data_NpIn2Br6
_chemical_formula_sum 'Np2 In4 Br12'
_cell_length_a 7.663
_cell_length_b 8.341
_cell_length_c 12.778
_cell_angle_alpha 90.00
_cell_angle_beta 121.48
_cell_angle_gamma 90.00
_symmetry_space_group_name_H-M 'P 1 21/c 1'
_symmetry_Int_Tables_number 14
loop_
_symmetry_equiv_pos_as_xyz
'x,y,z'
'-x,-y,-z'
'-x,y+1/2,-z+1/2'
'x,-y+1/2,z+1/2'
loop_
_atom_site_label
_atom_site_fract_x
_atom_site_fract_y
_atom_site_fract_z
_atom_site_occupancy
Np1 0.000 0.000 0.000 1
In1 0.310 0.095 0.774 1
Br1 0.109 0.044 0.242 1
Br2 0.235 0.724 0.067 1
Br3 0.342 0.176 0.044 1
```

Values from the calculation:
E   -4.179 eV/atom
Total magnetic moment   6.008 μB per cell

No. 6
## Sm7GaI12 (PBE-GGA)

Data for a relaxed structure of Sm7GaI12.

Structure (CIF):
```
data_Sm7GaI12
_chemical_formula_sum 'Sm21 Ga3 I36'
_cell_length_a 15.9886
_cell_length_b 15.9886
_cell_length_c 10.6297
_cell_angle_alpha 90.00
_cell_angle_beta 90.00
_cell_angle_gamma 120.00
_symmetry_space_group_name_H-M 'R -3'
_symmetry_Int_Tables_number 148
_symmetry_space_group_name_Hall '-R 3'
loop_
_atom_site_label
_atom_site_fract_x
_atom_site_fract_y
_atom_site_fract_z
_atom_site_occupancy
Sm1 0.0000 0.0000 0.0000 1
Sm2 0.0468 0.8824 0.3464 1
Ga1 0.0000 0.0000 0.5000 1
I1 0.0222 0.4349 0.1655 1
I2 0.0519 0.8675 0.8392 1
```

Values from the calculation:
E   -3.980 eV/atom
Total magnetic moment   0.142 μB per cell